#a
Compound: LaSiTe
Source: Alexandria via LeMat-Bulk
Functional: PBE
Structure: optimized geometry

It has space group R-3m (No. 166, hexagonal axes), with a = 4.2881 Å, b = 4.2881 Å, c = 35.8100 Å, α = 90.00°, β = 90.00° and γ = 120.00°. The asymmetric unit holds La at (0.0000, 0.0000, 0.0648), Si at (0.0000, 0.0000, 0.3405) and Te at (0.0000, 0.0000, 0.2161).

---

#b
Compound: LaSiTe
Source: Alexandria via LeMat-Bulk
Functional: PBE
Structure: optimized geometry

It has space group F-43m (No. 216), with a = 7.2394 Å, b = 7.2394 Å, c = 7.2394 Å, α = 90.00°, β = 90.00° and γ = 90.00°. The asymmetric unit holds La at (0.0000, 0.0000, 0.0000), Si at (0.0000, 0.0000, 0.5000) and Te at (0.2500, 0.2500, 0.7500).

---

Which is the most stable structure? #a is the most stable.

---

#a
Compound: LaThSi
Source: Alexandria via LeMat-Bulk
Functional: PBE
Structure: optimized geometry

It has space group I4/mmm (No. 139), with a = 4.3807 Å, b = 4.3807 Å, c = 17.2000 Å, α = 90.00°, β = 90.00° and γ = 90.00°. The asymmetric unit holds La at (0.0000, 0.5000, 0.0000), Th at (0.0000, 0.0000, 0.1827) and Si at (0.0000, 0.0000, 0.3600).

---

#b
Compound: LaThSi
Source: Alexandria via LeMat-Bulk
Functional: PBE
Structure: optimized geometry

It has space group Cmcm (No. 63), with a = 4.1547 Å, b = 15.8818 Å, c = 4.9202 Å, α = 90.00°, β = 90.00° and γ = 90.00°. The asymmetric unit holds La at (0.0000, 0.2354, 0.2500), Th at (0.0000, 0.0675, 0.7500) and Si at (0.0000, 0.4103, 0.7500).

---

Which is the most stable structure? #a is the most stable.

---

#a
Compound: La2TiSi2
Source: Alexandria via LeMat-Bulk
Functional: PBE
Structure: optimized geometry

It has space group P4/mbm (No. 127), with a = 7.2903 Å, b = 7.2903 Å, c = 4.5451 Å, α = 90.00°, β = 90.00° and γ = 90.00°. The asymmetric unit holds La at (0.1805, 0.3195, 0.0000), Ti at (0.0000, 0.0000, 0.5000) and Si at (0.1193, 0.6193, 0.5000).

---

#b
Compound: La2TiSi2
Source: Alexandria via LeMat-Bulk
Functional: PBE
Structure: optimized geometry

It has space group P4/mbm (No. 127), with a = 8.5244 Å, b = 8.5244 Å, c = 3.4824 Å, α = 90.00°, β = 90.00° and γ = 90.00°. The asymmetric unit holds La at (0.1289, 0.3711, 0.0000), Ti at (0.0000, 0.0000, 0.0000) and Si at (0.1737, 0.6737, 0.5000).

---

Which is the most stable structure? #a is the most stable.